Entry 1:
A relaxed structure of TaAl2Ag2. Source: Alexandria, functional PBE-GGA.

Summary:
The value obtained for the formation energy from the elements is 0.13 eV/atom. The total energy comes out at -4.8819 eV per atom. The density of states at the Fermi level is 2.76 states/eV/f.u. As for the space group: P4/mbm (127).

```
data_TaAl2Ag2
_cell_length_a 7.628
_cell_length_b 7.628
_cell_length_c 2.894
_cell_angle_alpha 90.00
_cell_angle_beta 90.00
_cell_angle_gamma 90.00
_space_group_name_H-M_alt 'P 1'
_space_group_IT_number 1
loop_
_space_group_symop_operation_xyz
'x,y,z'
loop_
_atom_site_label
_atom_site_type_symbol
_atom_site_fract_x
_atom_site_fract_y
_atom_site_fract_z
_atom_site_occupancy
Al1 Al 0.351 0.851 0.000 1
Al2 Al 0.851 0.649 0.000 1
Al3 Al 0.649 0.149 0.000 1
Al4 Al 0.149 0.351 0.000 1
Ag1 Ag 0.149 0.649 0.500 1
Ag2 Ag 0.649 0.851 0.500 1
Ag3 Ag 0.851 0.351 0.500 1
Ag4 Ag 0.351 0.149 0.500 1
Ta1 Ta 0.000 0.000 0.000 1
Ta2 Ta 0.500 0.500 0.000 1
```

***

Entry 2:
A relaxed structure of Pa3TcSn. Source: Alexandria, functional PBE-GGA.

Summary:
The value obtained for the formation energy from the elements is -0.02 eV/atom. The total energy comes out at -8.5954 eV per atom. The density of states at the Fermi level is 9.35 states/eV/f.u. As for the space group: C2/c (15).

```
data_Pa3TcSn
_cell_length_a 6.873
_cell_length_b 6.873
_cell_length_c 12.758
_cell_angle_alpha 83.85
_cell_angle_beta 83.85
_cell_angle_gamma 56.76
_space_group_name_H-M_alt 'P 1'
_space_group_IT_number 1
loop_
_space_group_symop_operation_xyz
'x,y,z'
loop_
_atom_site_label
_atom_site_type_symbol
_atom_site_fract_x
_atom_site_fract_y
_atom_site_fract_z
_atom_site_occupancy
Pa1 Pa 0.801 0.894 0.826 1
Pa2 Pa 0.106 0.199 0.674 1
Pa3 Pa 0.199 0.106 0.174 1
Pa4 Pa 0.894 0.801 0.326 1
Pa5 Pa 0.586 0.768 0.605 1
Pa6 Pa 0.232 0.414 0.895 1
Pa7 Pa 0.414 0.232 0.395 1
Pa8 Pa 0.768 0.586 0.105 1
Pa9 Pa 0.198 0.929 0.934 1
Pa10 Pa 0.071 0.802 0.566 1
Pa11 Pa 0.929 0.198 0.434 1
Pa12 Pa 0.802 0.071 0.066 1
Tc1 Tc 0.000 0.500 0.500 1
Tc2 Tc 0.500 0.000 0.000 1
Tc3 Tc 0.737 0.263 0.250 1
Tc4 Tc 0.263 0.737 0.750 1
Sn1 Sn 0.724 0.449 0.863 1
Sn2 Sn 0.551 0.276 0.637 1
Sn3 Sn 0.276 0.551 0.137 1
Sn4 Sn 0.449 0.724 0.363 1
```